(1)
The following is a DFT calculation (PBE) of a relaxed structure of Nd4HgTe2P.

Unit cell a=7.6563 b=4.3111 c=7.7320 alpha=90.00 beta=108.39 gamma=90.00
Space group P2/m (No. 10)
Unique sites:
Nd 0.2229 0.0000 0.2262 x2
Nd 0.2372 0.5000 0.7591 x2
Hg 0.0000 0.0000 0.5000 x1
Te 0.5000 0.0000 0.0000 x1
Te 0.5000 0.5000 0.5000 x1
P 0.0000 0.5000 0.0000 x1

Summary:
Formation energy from raw total energies   -1211.1 meV/atom
DFT total energy   -5.094 eV per atom

***

(2)
The following is a DFT calculation (PBE) of a relaxed structure of Nd8HgTe4P3.

Unit cell a=8.6635 b=8.6635 c=21.7854 alpha=90.00 beta=90.00 gamma=120.00
Space group R-3m (No. 166, hexagonal axes)
Unique sites:
Nd 0.0000 0.0000 0.2371 x6
Nd 0.0124 0.5062 0.7582 x18
Hg 0.0000 0.0000 0.5000 x3
Te 0.0000 0.0000 0.0000 x3
Te 0.0000 0.5000 0.0000 x9
P 0.0000 0.5000 0.5000 x9

Summary:
Formation energy from raw total energies   -1388.5 meV/atom
DFT total energy   -5.591 eV per atom

***

(3)
The following is a DFT calculation (PBE) of a relaxed structure of Nd6HgTe3P2.

Unit cell a=19.1535 b=4.2985 c=8.9439 alpha=90.00 beta=103.89 gamma=90.00
Space group C2/m (No. 12)
Unique sites:
Nd 0.0118 0.0000 0.2559 x4
Nd 0.1689 0.5000 0.1128 x4
Nd 0.1746 0.5000 0.5644 x4
Hg 0.0000 0.5000 0.0000 x2
Te 0.0000 0.5000 0.5000 x2
Te 0.1634 0.0000 0.8327 x4
P 0.1693 0.0000 0.3376 x4

Summary:
Formation energy from raw total energies   -1337.7 meV/atom
DFT total energy   -5.434 eV per atom